w.
YBeTcTe | PBE-GGA | optimized geometry

```
data_YBeTcTe
_cell_length_a 6.640
_cell_length_b 6.640
_cell_length_c 6.640
_cell_angle_alpha 90.00
_cell_angle_beta 90.00
_cell_angle_gamma 90.00
_space_group_name_H-M_alt 'F -4 3 m'
_space_group_IT_number 216
_space_group_name_Hall 'F -4 2 3'
loop_
_atom_site_label
_atom_site_fract_x
_atom_site_fract_y
_atom_site_fract_z
_atom_site_occupancy
Y1 0.000 0.000 0.000 1
Be1 0.250 0.250 0.250 1
Tc1 0.000 0.000 0.500 1
Te1 0.250 0.250 0.750 1
```

Its crystal system is cubic. The spin magnetization comes out at 0.0 μB/cell.

x.
YBeTcTe | PBE-GGA | optimized geometry

```
data_YBeTcTe
_cell_length_a 6.615
_cell_length_b 6.615
_cell_length_c 6.615
_cell_angle_alpha 90.00
_cell_angle_beta 90.00
_cell_angle_gamma 90.00
_space_group_name_H-M_alt 'F -4 3 m'
_space_group_IT_number 216
_space_group_name_Hall 'F -4 2 3'
loop_
_atom_site_label
_atom_site_fract_x
_atom_site_fract_y
_atom_site_fract_z
_atom_site_occupancy
Y1 0.000 0.000 0.000 1
Be1 0.250 0.250 0.250 1
Tc1 0.250 0.250 0.750 1
Te1 0.000 0.000 0.500 1
```

Its crystal system is cubic. The spin magnetization comes out at 0.0 μB/cell.

Least stable of them? x.

w.
UBeTe | PBE-GGA | optimized geometry

```
data_UBeTe
_cell_length_a 6.778
_cell_length_b 6.778
_cell_length_c 6.778
_cell_angle_alpha 90.00
_cell_angle_beta 90.00
_cell_angle_gamma 90.00
_space_group_name_H-M_alt 'F -4 3 m'
_space_group_IT_number 216
_space_group_name_Hall 'F -4 2 3'
loop_
_atom_site_label
_atom_site_fract_x
_atom_site_fract_y
_atom_site_fract_z
_atom_site_occupancy
U1 0.000 0.000 0.000 1
Be1 0.000 0.000 0.500 1
Te1 0.250 0.250 0.750 1
```

Its crystal system is cubic. The spin magnetization comes out at 11.4 μB/cell.

x.
UBeTe | PBE-GGA | optimized geometry

```
data_UBeTe
_cell_length_a 6.320
_cell_length_b 6.320
_cell_length_c 6.320
_cell_angle_alpha 90.00
_cell_angle_beta 90.00
_cell_angle_gamma 90.00
_space_group_name_H-M_alt 'F -4 3 m'
_space_group_IT_number 216
_space_group_name_Hall 'F -4 2 3'
loop_
_atom_site_label
_atom_site_fract_x
_atom_site_fract_y
_atom_site_fract_z
_atom_site_occupancy
U1 0.000 0.000 0.000 1
Be1 0.250 0.250 0.750 1
Te1 0.000 0.000 0.500 1
```

Its crystal system is cubic. The spin magnetization comes out at 11.2 μB/cell.

y.
UBeTe | PBE-GGA | optimized geometry

```
data_UBeTe
_cell_length_a 6.860
_cell_length_b 6.860
_cell_length_c 6.860
_cell_angle_alpha 90.00
_cell_angle_beta 90.00
_cell_angle_gamma 90.00
_space_group_name_H-M_alt 'F -4 3 m'
_space_group_IT_number 216
_space_group_name_Hall 'F -4 2 3'
loop_
_atom_site_label
_atom_site_fract_x
_atom_site_fract_y
_atom_site_fract_z
_atom_site_occupancy
U1 0.000 0.000 0.000 1
Be1 0.250 0.250 0.750 1
Te1 0.250 0.250 0.250 1
```

Its crystal system is cubic. The spin magnetization comes out at 12.0 μB/cell.

Least stable of them? w.

w.
ZrBeTeW | PBE-GGA | optimized geometry

```
data_ZrBeTeW
_cell_length_a 6.544
_cell_length_b 6.544
_cell_length_c 6.544
_cell_angle_alpha 90.00
_cell_angle_beta 90.00
_cell_angle_gamma 90.00
_space_group_name_H-M_alt 'F -4 3 m'
_space_group_IT_number 216
_space_group_name_Hall 'F -4 2 3'
loop_
_atom_site_label
_atom_site_fract_x
_atom_site_fract_y
_atom_site_fract_z
_atom_site_occupancy
Zr1 0.000 0.000 0.000 1
Be1 0.250 0.250 0.250 1
Te1 0.000 0.000 0.500 1
W1 0.250 0.250 0.750 1
```

Its crystal system is cubic. The spin magnetization comes out at 0.0 μB/cell.

x.
ZrBeTeW | PBE-GGA | optimized geometry

```
data_ZrBeTeW
_cell_length_a 6.532
_cell_length_b 6.532
_cell_length_c 6.532
_cell_angle_alpha 90.00
_cell_angle_beta 90.00
_cell_angle_gamma 90.00
_space_group_name_H-M_alt 'F -4 3 m'
_space_group_IT_number 216
_space_group_name_Hall 'F -4 2 3'
loop_
_atom_site_label
_atom_site_fract_x
_atom_site_fract_y
_atom_site_fract_z
_atom_site_occupancy
Zr1 0.000 0.000 0.000 1
Be1 0.250 0.250 0.250 1
Te1 0.250 0.250 0.750 1
W1 0.000 0.000 0.500 1
```

Its crystal system is cubic. The spin magnetization comes out at 0.0 μB/cell.

Least stable of them? w.

w.
ZrBeTe | PBE-GGA | optimized geometry

```
data_ZrBeTe
_cell_length_a 6.584
_cell_length_b 6.584
_cell_length_c 6.584
_cell_angle_alpha 90.00
_cell_angle_beta 90.00
_cell_angle_gamma 90.00
_space_group_name_H-M_alt 'F -4 3 m'
_space_group_IT_number 216
_space_group_name_Hall 'F -4 2 3'
loop_
_atom_site_label
_atom_site_fract_x
_atom_site_fract_y
_atom_site_fract_z
_atom_site_occupancy
Zr1 0.000 0.000 0.000 1
Be1 0.250 0.250 0.750 1
Te1 0.250 0.250 0.250 1
```

Its crystal system is cubic. The spin magnetization comes out at 1.2 μB/cell.

x.
ZrBeTe | PBE-GGA | optimized geometry

```
data_ZrBeTe
_cell_length_a 6.227
_cell_length_b 6.227
_cell_length_c 6.227
_cell_angle_alpha 90.00
_cell_angle_beta 90.00
_cell_angle_gamma 90.00
_space_group_name_H-M_alt 'F -4 3 m'
_space_group_IT_number 216
_space_group_name_Hall 'F -4 2 3'
loop_
_atom_site_label
_atom_site_fract_x
_atom_site_fract_y
_atom_site_fract_z
_atom_site_occupancy
Zr1 0.000 0.000 0.000 1
Be1 0.250 0.250 0.750 1
Te1 0.000 0.000 0.500 1
```

Its crystal system is cubic. The spin magnetization comes out at 1.8 μB/cell.

Least stable of them? w.

w.
ThBe | PBE-GGA | optimized geometry

```
data_ThBe
_cell_length_a 6.197
_cell_length_b 6.197
_cell_length_c 6.197
_cell_angle_alpha 90.00
_cell_angle_beta 90.00
_cell_angle_gamma 90.00
_space_group_name_H-M_alt 'F -4 3 m'
_space_group_IT_number 216
_space_group_name_Hall 'F -4 2 3'
loop_
_atom_site_label
_atom_site_fract_x
_atom_site_fract_y
_atom_site_fract_z
_atom_site_occupancy
Th1 0.000 0.000 0.000 1
Be1 0.250 0.250 0.250 1
```

Its crystal system is cubic. The spin magnetization comes out at 0.0 μB/cell.

x.
ThBe | PBE-GGA | optimized geometry

```
data_ThBe
_cell_length_a 3.4523
_cell_length_b 3.4523
_cell_length_c 4.4048
_cell_angle_alpha 90.00
_cell_angle_beta 90.00
_cell_angle_gamma 120.00
_space_group_name_H-M_alt 'P -6 m 2'
_space_group_IT_number 187
_space_group_name_Hall 'P -6 2'
loop_
_atom_site_label
_atom_site_fract_x
_atom_site_fract_y
_atom_site_fract_z
_atom_site_occupancy
Th1 0.0000 0.0000 0.0000 1
Be1 0.3333 0.6667 0.5000 1
```

Its crystal system is hexagonal. The spin magnetization comes out at 0.0 μB/cell.

Least stable of them? w.

w.
BeTlW | PBE-GGA | optimized geometry

```
data_BeTlW
_cell_length_a 5.868
_cell_length_b 5.868
_cell_length_c 5.868
_cell_angle_alpha 90.00
_cell_angle_beta 90.00
_cell_angle_gamma 90.00
_space_group_name_H-M_alt 'F -4 3 m'
_space_group_IT_number 216
_space_group_name_Hall 'F -4 2 3'
loop_
_atom_site_label
_atom_site_fract_x
_atom_site_fract_y
_atom_site_fract_z
_atom_site_occupancy
Be1 0.000 0.000 0.000 1
Tl1 0.250 0.250 0.750 1
W1 0.250 0.250 0.250 1
```

Its crystal system is cubic. The spin magnetization comes out at 4.6 μB/cell.

x.
BeTlW | PBE-GGA | optimized geometry

```
data_BeTlW
_cell_length_a 6.255
_cell_length_b 6.255
_cell_length_c 6.255
_cell_angle_alpha 90.00
_cell_angle_beta 90.00
_cell_angle_gamma 90.00
_space_group_name_H-M_alt 'F -4 3 m'
_space_group_IT_number 216
_space_group_name_Hall 'F -4 2 3'
loop_
_atom_site_label
_atom_site_fract_x
_atom_site_fract_y
_atom_site_fract_z
_atom_site_occupancy
Be1 0.000 0.000 0.000 1
Tl1 0.000 0.000 0.500 1
W1 0.250 0.250 0.250 1
```

Its crystal system is cubic. The spin magnetization comes out at 6.6 μB/cell.

Least stable of them? x.